(1)
# BaAsPdAu2

A relaxed BaAsPdAu2 crystal (GGA-PBE, the Alexandria database).

a = 5.1230 Å, b = 5.1230 Å, c = 4.8750 Å
α = 90.00°, β = 90.00°, γ = 90.00°
Fractional positions:
Ba  0.0000  0.0000  0.0000
As  0.5000  0.5000  0.5000
Pd  0.5000  0.5000  0.0000
Au  0.0000  0.5000  0.5000
Au  0.5000  0.0000  0.5000

Values from the calculation:
SG = P4/mmm (123)
DOS at the Fermi energy = 1.04 states/eV per cell

(2)
# BeCoNi2

A relaxed BeCoNi2 crystal (GGA-PBE, the Alexandria database).

a = 2.5324 Å, b = 2.5324 Å, c = 6.1753 Å
α = 90.00°, β = 90.00°, γ = 90.00°
Fractional positions:
Be  0.0000  0.0000  0.0000
Co  0.5000  0.5000  0.2293
Ni  0.0000  0.0000  0.4978
Ni  0.5000  0.5000  0.7839

Values from the calculation:
SG = P4mm (99)
DOS at the Fermi energy = 3.30 states/eV per cell

(3)
# Na7InSn3

A relaxed Na7InSn3 crystal (GGA-PBE, the Alexandria database).

a = 7.5491 Å, b = 7.5491 Å, c = 7.6382 Å
α = 90.00°, β = 90.00°, γ = 120.00°
Fractional positions:
Na  0.0000  0.0000  0.0000
Na  0.0019  0.5010  0.9012
Na  0.1694  0.3388  0.5051
Na  0.1694  0.8306  0.5051
Na  0.4990  0.5010  0.9012
Na  0.4990  0.9981  0.9012
Na  0.6612  0.8306  0.5051
In  0.6667  0.3333  0.5728
Sn  0.4030  0.2015  0.2353
Sn  0.7985  0.2015  0.2353
Sn  0.7985  0.5970  0.2353

Values from the calculation:
SG = P3m1 (156)
DOS at the Fermi energy = 3.14 states/eV per cell

(4)
# PrHo8Sc6

A relaxed PrHo8Sc6 crystal (GGA-PBE, the Alexandria database).

a = 7.9063 Å, b = 7.9063 Å, c = 7.9063 Å
α = 72.27°, β = 72.27°, γ = 72.27°
Fractional positions:
Pr  0.0000  0.0000  0.0000
Ho  0.0691  0.7728  0.6341
Ho  0.2272  0.3659  0.9309
Ho  0.3659  0.9309  0.2272
Ho  0.4107  0.4107  0.4107
Ho  0.5893  0.5893  0.5893
Ho  0.6341  0.0691  0.7728
Ho  0.7728  0.6341  0.0691
Ho  0.9309  0.2272  0.3659
Sc  0.0606  0.6085  0.2899
Sc  0.2899  0.0606  0.6085
Sc  0.3915  0.7101  0.9394
Sc  0.6085  0.2899  0.0606
Sc  0.7101  0.9394  0.3915
Sc  0.9394  0.3915  0.7101

Values from the calculation:
SG = R-3 (148)
DOS at the Fermi energy = 23.04 states/eV per cell

Per-record total magnetic moment, μB per atom: 0.000, 0.466, 0.000, 0.000
Per-record total DFT energy (no corrections), eV per formula unit: -20.58, -23.07, -25.09, -76.53